! Ti2MnHg (PBE, optimized geometry); values from VASP
&SYSTEM
  ibrav = 0, nat = 4, ntyp = 3
/
ATOMIC_SPECIES
Mn 54.94 Mn.upf
Hg 200.59 Hg.upf
Ti 47.87 Ti.upf
ATOMIC_POSITIONS angstrom
Mn -1.8403 0.4492 1.0340
Hg -0.1583 2.6480 3.0725
Ti 2.6763 3.4984 3.2435
Ti 0.6878 0.8991 0.8336
CELL_PARAMETERS angstrom
-2.2352 2.0463 -0.3628
-1.4454 -1.1479 2.4307
3.3641 4.3975 4.0771
! * formation enthalpy at 0 K: -168 meV/atom
! * total energy: -25.93 eV/cell
! * total moment: 0.00 μB/atom

---

! Ti4MnHg (PBE, optimized geometry); values from VASP
&SYSTEM
  ibrav = 0, nat = 6, ntyp = 3
/
ATOMIC_SPECIES
Ti 47.87 Ti.upf
Mn 54.94 Mn.upf
Hg 200.59 Hg.upf
ATOMIC_POSITIONS angstrom
Ti 1.5101 1.5101 2.0809
Ti 0.0000 0.0000 6.8186
Ti 0.0000 0.0000 3.9456
Ti 1.5101 1.5101 8.6832
Mn 1.5101 1.5101 5.3821
Hg 0.0000 0.0000 0.0000
CELL_PARAMETERS angstrom
3.0202 0.0000 0.0000
0.0000 3.0202 0.0000
0.0000 0.0000 10.7642
! * energy above the most stable polymorph in this dataset: 0 meV per atom
! * formation enthalpy at 0 K: -111 meV/atom
! * total energy: -41.72 eV/cell
! * total moment: 0.01 μB/atom

---

! Ti3MnHg (PBE, optimized geometry); values from VASP
&SYSTEM
  ibrav = 0, nat = 5, ntyp = 3
/
ATOMIC_SPECIES
Mn 54.94 Mn.upf
Hg 200.59 Hg.upf
Ti 47.87 Ti.upf
ATOMIC_POSITIONS angstrom
Mn 0.0000 0.0000 0.0000
Hg 2.4030 -3.0615 -0.4426
Ti 2.1921 0.1282 -0.5411
Ti 0.4843 -1.5219 1.6011
Ti -0.2734 -1.6679 -1.5026
CELL_PARAMETERS angstrom
-0.5468 -3.3357 -3.0053
4.3841 0.2565 -1.0823
0.9686 -3.0438 3.2023
! * energy above the most stable polymorph in this dataset: 0 meV per atom
! * formation enthalpy at 0 K: 297 meV/atom
! * total energy: -31.67 eV/cell
! * total moment: 0.24 μB/atom

---

! Ti2Mn2Hg (PBE, optimized geometry); values from VASP
&SYSTEM
  ibrav = 0, nat = 5, ntyp = 3
/
ATOMIC_SPECIES
Mn 54.94 Mn.upf
Hg 200.59 Hg.upf
Ti 47.87 Ti.upf
ATOMIC_POSITIONS angstrom
Mn -5.3410 -0.8404 0.4296
Mn -4.5655 -2.9095 0.3289
Hg 0.0000 0.0000 0.0000
Ti -2.7897 -1.0329 -0.2610
Ti -7.1167 -2.7170 1.0195
CELL_PARAMETERS angstrom
-2.2079 1.6111 -1.5213
-0.6569 -2.5269 -1.7227
-7.0416 -2.8340 4.0024
! * energy above the most stable polymorph in this dataset: 195 meV per atom
! * formation enthalpy at 0 K: 233 meV/atom
! * total energy: -33.27 eV/cell
! * total moment: 0.09 μB/atom

---

! TiMnHg3 (PBE, optimized geometry); values from VASP
&SYSTEM
  ibrav = 0, nat = 5, ntyp = 3
/
ATOMIC_SPECIES
Mn 54.94 Mn.upf
Hg 200.59 Hg.upf
Ti 47.87 Ti.upf
ATOMIC_POSITIONS angstrom
Mn 0.0000 0.0000 0.0000
Hg 0.0000 2.5247 0.0000
Hg 0.0000 0.0000 2.5247
Hg 2.5247 0.0000 0.0000
Ti 2.5247 2.5247 2.5247
CELL_PARAMETERS angstrom
5.0493 0.0000 0.0000
0.0000 5.0493 0.0000
0.0000 0.0000 5.0493
! * energy above the most stable polymorph in this dataset: 0 meV per atom
! * formation enthalpy at 0 K: 792 meV/atom
! * total energy: -14.01 eV/cell
! * total moment: 0.19 μB/atom

---

! Ti6MnHg2 (PBE, optimized geometry); values from VASP
&SYSTEM
  ibrav = 0, nat = 9, ntyp = 3
/
ATOMIC_SPECIES
Ti 47.87 Ti.upf
Mn 54.94 Mn.upf
Hg 200.59 Hg.upf
ATOMIC_POSITIONS angstrom
Ti 0.0682 1.4719 1.7352
Ti 2.5314 -1.4634 4.6812
Ti 2.5314 1.4634 4.6812
Ti 2.3386 1.4012 -0.0917
Ti 0.0682 4.3986 1.7352
Ti 2.3386 4.4693 -0.0917
Mn 0.0000 0.0000 0.0000
Hg 2.4332 2.9353 2.3086
Hg 0.1664 0.0000 4.1079
CELL_PARAMETERS angstrom
4.6773 0.0000 -0.1833
0.0000 5.8705 0.0000
-2.0777 -2.9352 6.5998
! * formation enthalpy at 0 K: 311 meV/atom
! * total energy: -54.34 eV/cell
! * total moment: 0.29 μB/atom

---

! Ti2Mn2Hg (PBE, optimized geometry); values from VASP
&SYSTEM
  ibrav = 0, nat = 10, ntyp = 3
/
ATOMIC_SPECIES
Mn 54.94 Mn.upf
Hg 200.59 Hg.upf
Ti 47.87 Ti.upf
ATOMIC_POSITIONS angstrom
Mn -5.2928 -3.2563 2.9872
Mn -7.4627 -1.3779 0.0893
Mn -4.0547 0.3405 -1.3488
Mn -1.8848 -1.5379 1.5492
Hg 0.0000 0.0000 0.0000
Hg -4.6737 -1.4579 0.8192
Ti -3.5748 -1.4592 3.5814
Ti -7.0422 -1.3096 2.6097
Ti -6.1919 0.9350 -0.0788
Ti -2.7245 0.7854 0.8930
CELL_PARAMETERS angstrom
-6.2016 1.2761 -3.0319
-3.1459 -4.1919 4.6704
-0.4193 2.3916 1.8642
! * energy above the most stable polymorph in this dataset: 0 meV per atom
! * formation enthalpy at 0 K: 37 meV/atom
! * total energy: -68.49 eV/cell
! * total moment: 0.00 μB/atom

---

! Ti3Mn2Hg (PBE, optimized geometry); values from VASP
&SYSTEM
  ibrav = 0, nat = 6, ntyp = 3
/
ATOMIC_SPECIES
Ti 47.87 Ti.upf
Mn 54.94 Mn.upf
Hg 200.59 Hg.upf
ATOMIC_POSITIONS angstrom
Ti 0.0000 0.0000 0.0000
Ti 0.0000 0.0000 7.0163
Ti 0.0000 0.0000 2.8652
Mn 1.5157 1.5157 8.3526
Mn 1.5157 1.5157 1.5289
Hg 1.5157 1.5157 4.9408
CELL_PARAMETERS angstrom
3.0314 0.0000 0.0000
0.0000 3.0314 0.0000
0.0000 0.0000 9.8815
! * formation enthalpy at 0 K: -199 meV/atom
! * total energy: -43.52 eV/cell
! * total moment: 0.00 μB/atom

---

! Ti4MnHg (PBE, optimized geometry); values from VASP
&SYSTEM
  ibrav = 0, nat = 6, ntyp = 3
/
ATOMIC_SPECIES
Ti 47.87 Ti.upf
Mn 54.94 Mn.upf
Hg 200.59 Hg.upf
ATOMIC_POSITIONS angstrom
Ti 1.4720 -7.8538 5.1753
Ti 0.3560 -2.6409 0.5989
Ti 0.7200 -2.5784 3.6488
Ti 1.1080 -7.9164 2.1254
Mn 0.0000 0.0000 0.0000
Hg 0.9140 -5.2474 2.8871
CELL_PARAMETERS angstrom
-1.8515 -4.2227 0.3076
2.7122 -3.7359 -0.2508
0.9673 -2.5361 5.7173
! * energy above the most stable polymorph in this dataset: 281 meV per atom
! * formation enthalpy at 0 K: 170 meV/atom
! * total energy: -40.03 eV/cell
! * total moment: 0.28 μB/atom

---

! TiMn3Hg (PBE, optimized geometry); values from VASP
&SYSTEM
  ibrav = 0, nat = 5, ntyp = 3
/
ATOMIC_SPECIES
Mn 54.94 Mn.upf
Hg 200.59 Hg.upf
Ti 47.87 Ti.upf
ATOMIC_POSITIONS angstrom
Mn -0.2447 -0.9523 -2.0465
Mn 2.1482 -0.7302 0.0830
Mn -0.6930 -1.9274 0.9797
Hg 1.2105 -3.6099 -0.9838
Ti 0.0000 0.0000 0.0000
CELL_PARAMETERS angstrom
-1.3860 -3.8548 1.9594
-0.4893 -1.9046 -4.0930
4.2964 -1.4605 0.1660
! * formation enthalpy at 0 K: 1010 meV/atom
! * total energy: -30.65 eV/cell
! * total moment: 1.65 μB/atom

---

! Ti5Mn4Hg (PBE, optimized geometry); values from VASP
&SYSTEM
  ibrav = 0, nat = 10, ntyp = 3
/
ATOMIC_SPECIES
Ti 47.87 Ti.upf
Mn 54.94 Mn.upf
Hg 200.59 Hg.upf
ATOMIC_POSITIONS angstrom
Ti 2.1044 -2.0921 0.4525
Ti 4.7619 -2.0901 1.5532
Ti 7.5115 -2.0880 2.6921
Ti 10.2611 -2.0858 3.8309
Ti 12.9186 -2.0838 4.9316
Mn 3.1937 0.0025 1.3228
Mn 5.9928 0.0046 2.4821
Mn 8.7311 0.0067 3.6163
Mn 11.5302 0.0089 4.7756
Hg 0.0000 0.0000 0.0000
CELL_PARAMETERS angstrom
-0.6514 -2.4808 1.5772
0.9505 -1.7064 -2.2916
14.7239 0.0113 6.0984
! * formation enthalpy at 0 K: -214 meV/atom
! * total energy: -78.60 eV/cell
! * total moment: 0.16 μB/atom

---

! TiMnTl2Hg (PBE, optimized geometry); values from VASP
&SYSTEM
  ibrav = 0, nat = 5, ntyp = 4
/
ATOMIC_SPECIES
Tl 204.38 Tl.upf
Mn 54.94 Mn.upf
Hg 200.59 Hg.upf
Ti 47.87 Ti.upf
ATOMIC_POSITIONS angstrom
Tl -1.7610 -1.2678 1.7119
Tl -0.5320 2.4125 1.2394
Mn -1.8902 0.4217 -1.6321
Hg 0.0000 0.0000 0.0000
Ti -4.1833 1.5663 1.3192
CELL_PARAMETERS angstrom
-1.0640 4.8250 2.4788
-3.7804 0.8433 -3.2643
-3.5221 -2.5357 3.4239
! * formation enthalpy at 0 K: 1206 meV/atom
! * total energy: -16.07 eV/cell
! * total moment: 0.97 μB/atom

---

Repeat the third record exactly.
! Ti3MnHg (PBE, optimized geometry); values from VASP
&SYSTEM
  ibrav = 0, nat = 5, ntyp = 3
/
ATOMIC_SPECIES
Mn 54.94 Mn.upf
Hg 200.59 Hg.upf
Ti 47.87 Ti.upf
ATOMIC_POSITIONS angstrom
Mn 0.0000 0.0000 0.0000
Hg 2.4030 -3.0615 -0.4426
Ti 2.1921 0.1282 -0.5411
Ti 0.4843 -1.5219 1.6011
Ti -0.2734 -1.6679 -1.5026
CELL_PARAMETERS angstrom
-0.5468 -3.3357 -3.0053
4.3841 0.2565 -1.0823
0.9686 -3.0438 3.2023
! * energy above the most stable polymorph in this dataset: 0 meV per atom
! * formation enthalpy at 0 K: 297 meV/atom
! * total energy: -31.67 eV/cell
! * total moment: 0.24 μB/atom

---

The highest formation enthalpy at 0 K belongs to which entry?
TiMnTl2Hg